#i
# Tb3Pm2Sm5

Crystalline Tb3Pm2Sm5 at its relaxed geometry (GGA-PBE, the Alexandria database).

The structure in CIF format:
```
data_Tb3Pm2Sm5
_chemical_formula_sum 'Tb12 Pm8 Sm20'
_space_group_name_H-M_alt 'C 1 2/c 1'
_space_group_IT_number 15
_space_group_name_Hall '-C 2yc'
_cell_length_a 10.816
_cell_length_b 15.829
_cell_length_c 9.623
_cell_angle_alpha 90.00
_cell_angle_beta 123.96
_cell_angle_gamma 90.00
loop_
_atom_site_label
_atom_site_fract_x
_atom_site_fract_y
_atom_site_fract_z
_atom_site_occupancy
Tb1 0.000 0.022 0.250 1
Tb2 0.159 0.379 0.546 1
Pm1 0.141 0.125 0.049 1
Sm1 0.000 0.231 0.250 1
Sm2 0.000 0.273 0.750 1
Sm3 0.000 0.470 0.750 1
Sm4 0.231 0.380 0.214 1
```

Values from the calculation:
Density in kg/m3: 7381
DOS(E_F) in states/eV per cell: 75.77

#ii
# Tb3Pm2Sm5

Crystalline Tb3Pm2Sm5 at its relaxed geometry (GGA-PBE, the Alexandria database).

The structure in CIF format:
```
data_Tb3Pm2Sm5
_chemical_formula_sum 'Tb12 Pm8 Sm20'
_space_group_name_H-M_alt 'I b a m'
_space_group_IT_number 72
_space_group_name_Hall '-I 2 2c'
_cell_length_a 9.439
_cell_length_b 21.923
_cell_length_c 6.890
_cell_angle_alpha 90.00
_cell_angle_beta 90.00
_cell_angle_gamma 90.00
loop_
_atom_site_label
_atom_site_fract_x
_atom_site_fract_y
_atom_site_fract_z
_atom_site_occupancy
Tb1 0.000 0.000 0.250 1
Tb2 0.249 0.122 0.000 1
Pm1 0.099 0.123 0.500 1
Sm1 0.000 0.249 0.250 1
Sm2 0.000 0.500 0.250 1
Sm3 0.094 0.374 0.000 1
```

Values from the calculation:
Density in kg/m3: 7075
DOS(E_F) in states/eV per cell: 59.71

Computed relative energies in units of eV/atom: #i 0.000; #ii 0.186